The following is a DFT calculation (PBE) of an optimized crystal structure of Y5CuPb3.

Properties
- SG = No. 63
- electronic total energy (eV per atom) = -5.712
- volume (Å³/atom) = 30.9

a b c (Å): 9.556 9.556 7.046
angles (deg): 90.00 90.00 59.90
Fractional positions:
Y 0.167 0.167 0.000
Y 0.167 0.167 0.500
Y 0.249 0.500 0.250
Y 0.249 0.751 0.750
Y 0.500 0.249 0.750
Y 0.500 0.751 0.250
Y 0.751 0.249 0.250
Y 0.751 0.500 0.750
Y 0.833 0.833 0.000
Y 0.833 0.833 0.500
Cu 0.500 0.500 0.000
Cu 0.500 0.500 0.500
Pb 0.109 0.500 0.750
Pb 0.109 0.891 0.250
Pb 0.500 0.109 0.250
Pb 0.500 0.891 0.750
Pb 0.891 0.109 0.750
Pb 0.891 0.500 0.250

The following is a DFT calculation (PBE) of an optimized crystal structure of YCu2Pb2.

Properties
- SG = No. 139
- distance to the lowest polymorph of the same formula (eV per formula unit) = 0.00
- electronic total energy (eV per atom) = -4.304
- volume (Å³/atom) = 22.3

a b c (Å): 6.291 6.291 6.291
angles (deg): 137.73 137.73 61.32
Fractional positions:
Y 0.000 0.000 0.000
Cu 0.393 0.393 0.000
Cu 0.607 0.607 0.000
Pb 0.250 0.750 0.500
Pb 0.750 0.250 0.500

The following is a DFT calculation (PBE) of an optimized crystal structure of YCu2Pb.

Properties
- SG = No. 216
- electronic total energy (eV per atom) = -4.425
- volume (Å³/atom) = 19.6

a b c (Å): 4.805 4.805 4.805
angles (deg): 60.00 60.00 60.00
Fractional positions:
Y 0.000 0.000 0.000
Cu 0.250 0.250 0.250
Cu 0.500 0.500 0.500
Pb 0.750 0.750 0.750

The following is a DFT calculation (PBE) of an optimized crystal structure of ZnCu2Pb.

Properties
- SG = No. 221
- distance to the lowest polymorph of the same formula (eV per formula unit) = 0.00
- electronic total energy (eV per atom) = -2.932
- volume (Å³/atom) = 16.8

a b c (Å): 6.454 6.454 6.454
angles (deg): 90.00 90.00 90.00
Fractional positions:
Zn 0.000 0.000 0.000
Zn 0.000 0.000 0.500
Zn 0.000 0.500 0.000
Zn 0.500 0.000 0.000
Cu 0.217 0.217 0.217
Cu 0.217 0.217 0.783
Cu 0.217 0.783 0.217
Cu 0.217 0.783 0.783
Cu 0.783 0.217 0.217
Cu 0.783 0.217 0.783
Cu 0.783 0.783 0.217
Cu 0.783 0.783 0.783
Pb 0.000 0.500 0.500
Pb 0.500 0.000 0.500
Pb 0.500 0.500 0.000
Pb 0.500 0.500 0.500

- What is the volume in the third record?
  19.6 Å³/atom